1.
PBE Ca3Pt2, optimized geometry; DOS at the Fermi energy = 5.9 states/eV per cell; DFT formation energy = -0.49 eV per atom; E above lowest polymorph = 378 meV/atom; calculated volume = 32.6 Å³/atom; symmetry = P4_2/m, No. 84; ρ = 5.19 g cm⁻³
1.0
8.257 0.000 0.000
0.000 8.257 0.000
0.000 0.000 4.789
Ca Pt
6 4
Direct
0.500 0.000 0.500 Ca
0.213 0.710 0.500 Ca
0.290 0.213 0.000 Ca
0.000 0.500 0.000 Ca
0.787 0.290 0.500 Ca
0.710 0.787 0.000 Ca
0.863 0.638 0.500 Pt
0.137 0.362 0.500 Pt
0.362 0.863 0.000 Pt
0.638 0.137 0.000 Pt



2.
PBE CaPt4, optimized geometry; DOS at the Fermi energy = 5.9 states/eV per cell; DFT formation energy = -0.37 eV per atom; E above lowest polymorph = 0 meV/atom; calculated volume = 17.2 Å³/atom; symmetry = I4/m, No. 87; ρ = 15.84 g cm⁻³
1.0
-3.189 3.189 2.114
3.189 -3.189 2.114
3.189 3.189 -2.114
Pt Ca
4 1
Direct
0.807 0.590 0.396 Pt
0.410 0.807 0.217 Pt
0.193 0.410 0.604 Pt
0.590 0.193 0.783 Pt
0.000 0.000 0.000 Ca



3.
PBE CaPt, optimized geometry; DOS at the Fermi energy = 3.6 states/eV per cell; DFT formation energy = -0.67 eV per atom; calculated volume = 21.5 Å³/atom; symmetry = P2/c, No. 13; ρ = 9.07 g cm⁻³
1.0
-3.043 3.946 -6.142
-3.765 -4.211 0.123
-3.340 3.093 3.642
Pt Ca
6 6
Direct
0.649 0.682 0.024 Pt
0.000 0.500 0.233 Pt
0.000 0.000 0.517 Pt
0.649 0.182 0.726 Pt
0.351 0.818 0.726 Pt
0.351 0.318 0.024 Pt
0.000 0.500 0.736 Ca
0.679 0.207 0.217 Ca
0.321 0.293 0.533 Ca
0.000 0.000 0.014 Ca
0.321 0.793 0.217 Ca
0.679 0.707 0.533 Ca



4.
PBE CaPt5, optimized geometry; DOS at the Fermi energy = 8.5 states/eV per cell; DFT formation energy = -0.21 eV per atom; calculated volume = 16.8 Å³/atom; symmetry = P4/mmm, No. 123; ρ = 16.73 g cm⁻³
1.0
2.867 0.000 0.000
0.000 2.867 0.000
0.000 0.000 12.267
Pt Ca
5 1
Direct
0.000 0.000 0.819 Pt
0.500 0.500 0.343 Pt
0.000 0.000 0.500 Pt
0.000 0.000 0.181 Pt
0.500 0.500 0.657 Pt
0.500 0.500 0.000 Ca



5.
PBE CaPt, optimized geometry; DOS at the Fermi energy = 5.0 states/eV per cell; DFT formation energy = -0.66 eV per atom; calculated volume = 24.2 Å³/atom; symmetry = P4_2/mnm, No. 136; ρ = 8.06 g cm⁻³
1.0
5.781 0.000 0.000
0.000 5.781 0.000
0.000 0.000 5.796
Pt Ca
4 4
Direct
0.183 0.183 0.000 Pt
0.317 0.683 0.500 Pt
0.683 0.317 0.500 Pt
0.817 0.817 0.000 Pt
0.203 0.203 0.500 Ca
0.703 0.297 0.000 Ca
0.797 0.797 0.500 Ca
0.297 0.703 0.000 Ca



6.
PBE Ca2Pt, optimized geometry; DOS at the Fermi energy = 3.0 states/eV per cell; DFT formation energy = -0.23 eV per atom; calculated volume = 22.7 Å³/atom; symmetry = P6/mmm, No. 191; ρ = 6.70 g cm⁻³
1.0
2.494 -4.320 0.000
2.494 4.320 0.000
0.000 0.000 3.165
Ca Pt
2 1
Direct
0.333 0.667 0.000 Ca
0.667 0.333 0.000 Ca
0.000 0.000 0.500 Pt